[1]
A plane-wave DFT calculation with PBE was carried out for a geometry-optimized U2Ni3Ir3 structure.

Unit cell a=3.9804 b=3.9912 c=7.7966 alpha=90.00 beta=90.00 gamma=90.00
Last column: nearest neighbours and their distance in Å.
Space group Pmmm (No. 47)
Inequivalent atoms, fractional coordinates:
1 U 0.0000 0.0000 0.2482 (multiplicity 2)  6 Ir 2.78-2.80, 6 Ni 2.78-2.82
2 Ni 0.0000 0.5000 0.0000 (multiplicity 1)  4 Ni 2.76, 4 U 2.78, 4 Ir 2.82
3 Ni 0.5000 0.5000 0.2456 (multiplicity 2)  2 Ni 2.76, 6 Ir 2.77-2.81, 4 U 2.82
4 Ir 0.0000 0.5000 0.5000 (multiplicity 1)  4 U 2.80, 4 Ni 2.81, 4 Ir 2.82
5 Ir 0.5000 0.0000 0.0000 (multiplicity 1)  8 Ni 2.77-2.82, 4 U 2.78
6 Ir 0.5000 0.0000 0.5000 (multiplicity 1)  4 U 2.80, 4 Ni 2.81, 4 Ir 2.82

* final energy: -70.14 eV per cell

=====

[2]
A plane-wave DFT calculation with PBE was carried out for a geometry-optimized SrBi2Pb2 structure.

Unit cell a=4.8736 b=4.8736 c=15.4622 alpha=90.00 beta=90.00 gamma=90.00
Last column: nearest neighbours and their distance in Å.
Space group I4/mmm (No. 139)
Inequivalent atoms, fractional coordinates:
1 Sr 0.0000 0.0000 0.0000 (multiplicity 2)  8 Pb 3.79
2 Bi 0.0000 0.5000 0.2500 (multiplicity 4)  4 Pb 3.34, 4 Bi 3.45
3 Pb 0.0000 0.0000 0.3980 (multiplicity 4)  1 Pb 3.15, 4 Bi 3.34

* final energy: -35.00 eV per cell

=====

[3]
A plane-wave DFT calculation with PBE was carried out for a geometry-optimized ScTi3N4 structure.

Unit cell a=6.1152 b=8.6200 c=3.0392 alpha=90.00 beta=90.00 gamma=90.00
Last column: nearest neighbours and their distance in Å.
Space group Cmmm (No. 65)
Inequivalent atoms, fractional coordinates:
1 Sc 0.0000 0.0000 0.0000 (multiplicity 2)  6 N 2.19
2 Ti 0.0000 0.5000 0.0000 (multiplicity 2)  6 N 2.12
3 Ti 0.2500 0.2500 0.5000 (multiplicity 4)  6 N 2.16
4 N 0.0000 0.2540 0.0000 (multiplicity 4)  5 Ti 2.12-2.16, 1 Sc 2.19
5 N 0.2416 0.5000 0.5000 (multiplicity 4)  4 Ti 2.12-2.16, 2 Sc 2.19

* final energy: -154.86 eV per cell
* formation energy without anion corrections: -1764 meV/atom

=====

[4]
A plane-wave DFT calculation with PBE was carried out for a geometry-optimized Tb2ErF11 structure.

Unit cell a=8.3896 b=10.2225 c=11.0629 alpha=90.00 beta=90.00 gamma=90.00
Last column: nearest neighbours and their distance in Å.
Space group Ibam (No. 72)
Inequivalent atoms, fractional coordinates:
1 Tb 0.1607 0.1900 0.0000 (multiplicity 8)  7 F 2.21-2.36
2 Er 0.0000 0.5000 0.2500 (multiplicity 4)  8 F 2.25-2.26
3 F 0.0000 0.0000 0.0000 (multiplicity 4)  2 F 2.17, 2 Tb 2.36
4 F 0.1007 0.3306 0.1448 (multiplicity 16)  1 Tb 2.21, 1 Er 2.25
5 F 0.1087 0.1926 0.5000 (multiplicity 8)  1 F 2.17, 2 Tb 2.26-2.28
6 F 0.2028 0.4252 0.3655 (multiplicity 16)  1 Tb 2.22, 1 Er 2.26

* final energy: -331.31 eV per cell
* formation energy without anion corrections: -3459 meV/atom

=====

[5]
A plane-wave DFT calculation with PBE was carried out for a geometry-optimized Rb2CeTe3 structure.

Unit cell a=8.3247 b=14.4234 c=8.9469 alpha=90.00 beta=108.53 gamma=90.00
Last column: nearest neighbours and their distance in Å.
Space group C2/m (No. 12)
Inequivalent atoms, fractional coordinates:
1 Rb 0.0000 0.0000 0.0000 (multiplicity 2)  6 Te 3.57-3.60
2 Rb 0.0000 0.1536 0.5000 (multiplicity 4)  6 Te 3.57-3.94
3 Rb 0.0000 0.5000 0.5000 (multiplicity 2)  6 Te 3.52-3.88
4 Ce 0.0000 0.3322 0.0000 (multiplicity 4)  6 Te 3.13-3.14
5 Te 0.1920 0.5000 0.2019 (multiplicity 4)  2 Ce 3.14
6 Te 0.2403 0.3108 0.7948 (multiplicity 8)  2 Ce 3.13

* final energy: -97.81 eV per cell
* energy above the lowest structure with this stoichiometry: 0 meV/atom
* formation energy without anion corrections: -1193 meV/atom

=====

[6]
A plane-wave DFT calculation with PBE was carried out for a geometry-optimized ScTlCo2 structure.

Unit cell a=3.1052 b=3.1052 c=24.3827 alpha=90.00 beta=90.00 gamma=120.00
Last column: nearest neighbours and their distance in Å.
Space group R-3m (No. 166, hexagonal axes)
Inequivalent atoms, fractional coordinates:
1 Sc 0.0000 0.0000 0.0000 (multiplicity 3)  6 Co 2.66
2 Tl 0.0000 0.0000 0.5000 (multiplicity 3)  6 Co 2.76
3 Co 0.0000 0.0000 0.2530 (multiplicity 6)  3 Sc 2.66, 3 Tl 2.76

* final energy: -64.21 eV per cell

=====

Asked for spin magnetization across the records above, the calculation gives 1.11 0.00 0.00 8.42 0.00 3.90 μB per cell in order.